No. 1
Density functional theory data (PBE) for Ta2TiOs2 after structural relaxation.

The structure belongs to space group P4/mbm (No. 127); the cell edges are 7.6516, 7.6516 and 2.9592 Å and the angles 90.00°, 90.00° and 90.00°. The distinct sites, in fractional coordinates, are Ta at (0.1486, 0.3514, 0.0000), Ti at (0.0000, 0.0000, 0.0000) and Os at (0.1501, 0.6501, 0.5000).

As for the formation enthalpy at 0 K: -0.028 eV/atom. Its energy above the most stable polymorph in this dataset is 0.1600 eV/atom. For the total magnetization, the calculation gives 1.39 μB per formula unit. The calculation puts the total energy at -10.840 eV per atom.

***

No. 2
Density functional theory data (PBE) for MgNi2Sb after structural relaxation.

The structure belongs to space group Cmcm (No. 63); the cell edges are 3.4436, 11.4832 and 6.4810 Å and the angles 90.00°, 90.00° and 90.00°. The distinct sites, in fractional coordinates, are Mg at (0.0000, 0.0301, 0.2500), Ni at (0.0000, 0.3874, 0.0513) and Sb at (0.0000, 0.2379, 0.7500).

Its formation energy from raw total energies is -0.185 eV per atom. For the total magnetization, the calculation gives 0.00 μB per formula unit. The calculation puts the total energy at -4.505 eV per atom.